# 1
{
  "formula": "CaVAgO4",
  "functional": "GGA+U",
  "state": "optimized geometry",
  "lattice": [[6.131, 0.000, 0.000], [0.000, 6.237, 0.000], [-0.494, 0.000, 6.831]],
  "species": ["Ca", "Ca", "V", "V", "Ag", "Ag", "O", "O", "O", "O", "O", "O", "O", "O"],
  "frac_coords": [[0.180, 0.250, 0.058], [0.820, 0.750, 0.942], [0.309, 0.750, 0.854], [0.691, 0.250, 0.146], [0.490, 0.750, 0.388], [0.510, 0.250, 0.612], [0.131, 0.535, 0.840], [0.131, 0.965, 0.840], [0.458, 0.750, 0.080], [0.473, 0.250, 0.306], [0.527, 0.750, 0.694], [0.542, 0.250, 0.920], [0.869, 0.035, 0.160], [0.869, 0.465, 0.160]],
  "sg": "P2_1/m",
  "total_energy_ev_per_cell": -90.80
}


# 2
{
  "formula": "Ca2AgWO6",
  "functional": "GGA+U",
  "state": "optimized geometry",
  "lattice": [[5.662, 0.000, 0.000], [0.000, 5.984, 0.000], [-5.537, 0.000, 7.772]],
  "species": ["Ca", "Ca", "Ca", "Ca", "Ag", "Ag", "W", "W", "O", "O", "O", "O", "O", "O", "O", "O", "O", "O", "O", "O"],
  "frac_coords": [[0.231, 0.063, 0.245], [0.231, 0.437, 0.745], [0.769, 0.563, 0.255], [0.769, 0.937, 0.755], [0.000, 0.000, 0.500], [0.000, 0.500, 0.000], [0.500, 0.000, 0.000], [0.500, 0.500, 0.500], [0.162, 0.164, 0.950], [0.162, 0.336, 0.450], [0.276, 0.726, 0.928], [0.276, 0.774, 0.428], [0.382, 0.059, 0.763], [0.382, 0.441, 0.263], [0.618, 0.559, 0.737], [0.618, 0.941, 0.237], [0.724, 0.226, 0.572], [0.724, 0.274, 0.072], [0.838, 0.664, 0.550], [0.838, 0.836, 0.050]],
  "sg": "P2_1/c",
  "total_energy_ev_per_cell": -129.39,
  "de_polymorph_mev_per_atom": 0
}


# 3
{
  "formula": "CaAgW2O8",
  "functional": "GGA+U",
  "state": "optimized geometry",
  "lattice": [[-3.671, 3.671, 3.467], [3.671, -3.671, 3.467], [3.671, 3.671, -3.467]],
  "species": ["Ca", "Ag", "W", "W", "O", "O", "O", "O", "O", "O", "O", "O"],
  "frac_coords": [[0.000, 0.000, 0.000], [0.750, 0.250, 0.500], [0.250, 0.750, 0.500], [0.500, 0.500, 0.000], [0.096, 0.397, 0.300], [0.096, 0.796, 0.700], [0.142, 0.336, 0.806], [0.204, 0.904, 0.300], [0.531, 0.336, 0.194], [0.603, 0.904, 0.700], [0.664, 0.469, 0.806], [0.664, 0.858, 0.194]],
  "sg": "I-4m2",
  "total_energy_ev_per_cell": -79.90
}


# 4
{
  "formula": "Ca2AgWO6",
  "functional": "GGA+U",
  "state": "optimized geometry",
  "lattice": [[5.525, 0.000, 0.000], [-0.010, 5.762, 0.000], [-2.745, -2.665, 4.367]],
  "species": ["Ca", "Ca", "Ag", "W", "O", "O", "O", "O", "O", "O"],
  "frac_coords": [[0.000, 0.000, 0.000], [0.494, 0.516, 0.005], [0.774, 0.342, 0.546], [0.285, 0.871, 0.572], [0.085, 0.146, 0.730], [0.159, 0.663, 0.701], [0.397, 0.133, 0.480], [0.530, 0.661, 0.481], [0.606, 0.116, 0.994], [0.957, 0.699, 0.169]],
  "sg": "P1",
  "total_energy_ev_per_cell": -64.55,
  "de_polymorph_mev_per_atom": 14
}


The records above yield calculated volume values of 18.7, 13.2, 15.6, 13.9 Å³/atom, respectively.